w) VASP calculation (GGA+U) on an optimized crystal structure of VAs2SeO.

Calculated values
Calculated density (g/cm3): 4.839

```
5
Lattice="-4.0784 -0.0574 2.3319 1.9435 -2.6813 3.3329 1.2624 3.7752 2.3009" Properties=species:S:1:pos:R:3 pbc="T T T"
O -0.4362 0.5183 3.9829
As 0.9717 -1.3406 1.6665
V 0.0000 0.0000 0.0000
Se 0.6312 1.8876 1.1505
As -2.0392 -0.0287 1.1660
```


x) VASP calculation (GGA+U) on an optimized crystal structure of VAs2SeO.

Calculated values
Calculated density (g/cm3): 5.779

```
5
Lattice="4.2646 0.0000 0.0000 0.0000 4.2646 0.0000 0.0000 0.0000 4.6724" Properties=species:S:1:pos:R:3 pbc="T T T"
As 0.0000 2.1323 0.0000
V 2.1323 2.1323 2.3362
Se 0.0000 0.0000 2.3362
As 2.1323 0.0000 0.0000
O 0.0000 0.0000 0.0000
```


What are the relative energies? In eV/atom: w) 0.351; x) 0.000.